1.
First-principles (PBE) data for crystalline Nd3Zn4Rh4 at its relaxed geometry, as listed in Alexandria via LeMat-Bulk.

Formation energy from the elements, eV/atom: -0.39

Unit cell a=6.623 b=6.623 c=6.623 alpha=109.47 beta=109.47 gamma=109.47
Positions (direct):
Nd 0.000 0.500 0.500
Nd 0.500 0.000 0.500
Nd 0.500 0.500 0.000
Zn 0.000 0.000 0.241
Zn 0.000 0.241 0.000
Zn 0.241 0.000 0.000
Zn 0.759 0.759 0.759
Rh 0.000 0.000 0.602
Rh 0.000 0.602 0.000
Rh 0.398 0.398 0.398
Rh 0.602 0.000 0.000

---

2.
First-principles (PBE) data for crystalline KLa2PtO6 at its relaxed geometry, as listed in Alexandria via LeMat-Bulk.

Final energy, eV per atom: -6.783

Unit cell a=5.726 b=6.322 c=10.386 alpha=90.00 beta=122.56 gamma=90.00
Positions (direct):
K 0.000 0.000 0.000
K 0.000 0.500 0.500
La 0.212 0.032 0.723
La 0.212 0.468 0.223
La 0.788 0.532 0.777
La 0.788 0.968 0.277
Pt 0.500 0.000 0.500
Pt 0.500 0.500 0.000
O 0.178 0.151 0.480
O 0.178 0.349 0.980
O 0.230 0.739 0.877
O 0.230 0.761 0.377
O 0.437 0.130 0.304
O 0.437 0.370 0.804
O 0.563 0.630 0.196
O 0.563 0.870 0.696
O 0.770 0.239 0.623
O 0.770 0.261 0.123
O 0.822 0.651 0.020
O 0.822 0.849 0.520

---

3.
First-principles (PBE) data for crystalline NdZn2Au2 at its relaxed geometry, as listed in Alexandria via LeMat-Bulk.

Formation energy from the elements, eV/atom: -0.50

Unit cell a=4.123 b=4.123 c=6.155 alpha=90.00 beta=90.00 gamma=90.00
Positions (direct):
Nd 0.000 0.000 0.000
Zn 0.000 0.500 0.500
Zn 0.500 0.000 0.500
Au 0.500 0.500 0.224
Au 0.500 0.500 0.776

---

4.
First-principles (PBE) data for crystalline Ba2CaLaRu at its relaxed geometry, as listed in Alexandria via LeMat-Bulk.

Formation energy from the elements, eV/atom: 0.07

Unit cell a=6.396 b=6.396 c=5.231 alpha=90.00 beta=90.00 gamma=90.00
Positions (direct):
Ba 0.000 0.500 0.000
Ba 0.500 0.000 0.000
Ca 0.000 0.000 0.500
La 0.500 0.500 0.500
Ru 0.500 0.500 0.000

---

5.
First-principles (PBE) data for crystalline Ac3BiSN at its relaxed geometry, as listed in Alexandria via LeMat-Bulk.

Final energy, eV per atom: -6.112

Unit cell a=9.268 b=4.478 c=10.004 alpha=90.00 beta=103.71 gamma=90.00
Positions (direct):
Ac 0.067 0.250 0.337
Ac 0.331 0.250 0.977
Ac 0.395 0.750 0.654
Ac 0.605 0.250 0.346
Ac 0.669 0.750 0.023
Ac 0.933 0.750 0.663
Bi 0.310 0.750 0.272
Bi 0.690 0.250 0.728
S 0.157 0.250 0.643
S 0.843 0.750 0.357
N 0.409 0.750 0.894
N 0.591 0.250 0.106

---

6.
First-principles (PBE) data for crystalline Tb5SmHo2 at its relaxed geometry, as listed in Alexandria via LeMat-Bulk.

Formation energy from the elements, eV/atom: 0.01

Unit cell a=7.125 b=14.249 c=5.023 alpha=90.00 beta=90.00 gamma=90.00
Positions (direct):
Tb 0.000 0.000 0.000
Tb 0.001 0.250 0.000
Tb 0.249 0.875 0.500
Tb 0.251 0.375 0.500
Tb 0.499 0.750 0.000
Tb 0.500 0.500 0.000
Tb 0.501 0.250 0.000
Tb 0.749 0.625 0.500
Tb 0.751 0.125 0.500
Tb 0.999 0.750 0.000
Sm 0.000 0.500 0.000
Sm 0.500 0.000 0.000
Ho 0.250 0.125 0.500
Ho 0.250 0.625 0.500
Ho 0.750 0.375 0.500
Ho 0.750 0.875 0.500